[1]
Compound: AgIrI4
Source: Alexandria
Functional: PBE
Structure: relaxed

Properties
The formation energy (no corrections) is -0.110 eV per atom. The calculation puts the total DFT energy (no corrections) at -0.1138 Ha/atom. Its space group is C2/m, No. 12.

Structure (CIF):
```
data_AgIrI4
_chemical_formula_sum 'Ag1 Ir1 I4'
_cell_length_a 6.920
_cell_length_b 6.920
_cell_length_c 7.631
_cell_angle_alpha 99.48
_cell_angle_beta 99.48
_cell_angle_gamma 34.30
_space_group_name_H-M_alt 'P 1'
_space_group_IT_number 1
loop_
_space_group_symop_operation_xyz
'x,y,z'
loop_
_atom_site_label
_atom_site_fract_x
_atom_site_fract_y
_atom_site_fract_z
_atom_site_occupancy
Ag1 0.000 0.000 0.000 1
Ir1 0.500 0.500 0.500 1
I1 0.113 0.113 0.403 1
I2 0.382 0.382 0.172 1
I3 0.618 0.618 0.828 1
I4 0.887 0.887 0.597 1
```

***

[2]
Compound: InPtBr2
Source: Alexandria
Functional: PBE
Structure: relaxed

Properties
The formation energy (no corrections) is 0.179 eV per atom. The calculation puts the total DFT energy (no corrections) at -0.1048 Ha/atom. For the energy above the most stable polymorph in this dataset, the calculation gives 495 meV/atom. Its space group is Pmmm, No. 47.

Structure (CIF):
```
data_InPtBr2
_chemical_formula_sum 'In1 Pt1 Br2'
_cell_length_a 3.571
_cell_length_b 4.405
_cell_length_c 6.233
_cell_angle_alpha 90.00
_cell_angle_beta 90.00
_cell_angle_gamma 90.00
_space_group_name_H-M_alt 'P 1'
_space_group_IT_number 1
loop_
_space_group_symop_operation_xyz
'x,y,z'
loop_
_atom_site_label
_atom_site_fract_x
_atom_site_fract_y
_atom_site_fract_z
_atom_site_occupancy
In1 0.000 0.000 0.000 1
Pt1 0.500 0.000 0.500 1
Br1 0.000 0.500 0.500 1
Br2 0.500 0.500 0.000 1
```

***

[3]
Compound: Cd8Hg2Pb
Source: Alexandria
Functional: PBE
Structure: relaxed

Properties
Its calculated formation energy is 0.032 eV/atom. The calculation puts the total DFT energy (no corrections) at -0.0377 Ha/atom. Its space group is C2/m, No. 12.

Structure (CIF):
```
data_Cd8Hg2Pb
_chemical_formula_sum 'Cd8 Hg2 Pb1'
_cell_length_a 8.229
_cell_length_b 8.229
_cell_length_c 7.487
_cell_angle_alpha 102.20
_cell_angle_beta 102.20
_cell_angle_gamma 32.37
_space_group_name_H-M_alt 'P 1'
_space_group_IT_number 1
loop_
_space_group_symop_operation_xyz
'x,y,z'
loop_
_atom_site_label
_atom_site_fract_x
_atom_site_fract_y
_atom_site_fract_z
_atom_site_occupancy
Cd1 0.045 0.045 0.212 1
Cd2 0.138 0.138 0.692 1
Cd3 0.314 0.314 0.595 1
Cd4 0.408 0.408 0.038 1
Cd5 0.592 0.592 0.962 1
Cd6 0.686 0.686 0.405 1
Cd7 0.862 0.862 0.308 1
Cd8 0.955 0.955 0.788 1
Hg1 0.230 0.230 0.147 1
Hg2 0.770 0.770 0.853 1
Pb1 0.500 0.500 0.500 1
```

***

[4]
Compound: Os2RuAu
Source: Alexandria
Functional: PBE
Structure: relaxed

Properties
Its calculated formation energy is 0.432 eV/atom. The calculation puts the total DFT energy (no corrections) at -0.3058 Ha/atom. For the energy above the most stable polymorph in this dataset, the calculation gives 153 meV/atom. Its space group is Cm, No. 8.

Structure (CIF):
```
data_Os2RuAu
_chemical_formula_sum 'Os2 Ru1 Au1'
_cell_length_a 4.782
_cell_length_b 4.782
_cell_length_c 4.819
_cell_angle_alpha 99.37
_cell_angle_beta 99.37
_cell_angle_gamma 33.65
_space_group_name_H-M_alt 'P 1'
_space_group_IT_number 1
loop_
_space_group_symop_operation_xyz
'x,y,z'
loop_
_atom_site_label
_atom_site_fract_x
_atom_site_fract_y
_atom_site_fract_z
_atom_site_occupancy
Os1 0.000 0.000 0.000 1
Os2 0.743 0.743 0.219 1
Ru1 0.258 0.258 0.761 1
Au1 0.500 0.500 0.498 1
```

***

[5]
Compound: DyMn2Al2C
Source: Alexandria
Functional: PBE
Structure: relaxed

Properties
Its calculated formation energy is -0.329 eV/atom. The calculation puts the total DFT energy (no corrections) at -0.2549 Ha/atom. Its space group is P4/mmm, No. 123.

Structure (CIF):
```
data_DyMn2Al2C
_chemical_formula_sum 'Dy1 Mn2 Al2 C1'
_cell_length_a 3.918
_cell_length_b 3.918
_cell_length_c 5.572
_cell_angle_alpha 90.00
_cell_angle_beta 90.00
_cell_angle_gamma 90.00
_space_group_name_H-M_alt 'P 1'
_space_group_IT_number 1
loop_
_space_group_symop_operation_xyz
'x,y,z'
loop_
_atom_site_label
_atom_site_fract_x
_atom_site_fract_y
_atom_site_fract_z
_atom_site_occupancy
Dy1 0.000 0.000 0.000 1
Mn1 0.000 0.500 0.500 1
Mn2 0.500 0.000 0.500 1
Al1 0.500 0.500 0.233 1
Al2 0.500 0.500 0.767 1
C1 0.000 0.000 0.500 1
```

***

[6]
Compound: Mn2AlSb
Source: Alexandria
Functional: PBE
Structure: relaxed

Properties
The formation energy (no corrections) is 0.354 eV per atom. The calculation puts the total DFT energy (no corrections) at -0.2277 Ha/atom. For the energy above the most stable polymorph in this dataset, the calculation gives 291 meV/atom. Its space group is F-43m, No. 216.

Structure (CIF):
```
data_Mn2AlSb
_chemical_formula_sum 'Mn2 Al1 Sb1'
_cell_length_a 4.402
_cell_length_b 4.402
_cell_length_c 4.402
_cell_angle_alpha 60.00
_cell_angle_beta 60.00
_cell_angle_gamma 60.00
_space_group_name_H-M_alt 'P 1'
_space_group_IT_number 1
loop_
_space_group_symop_operation_xyz
'x,y,z'
loop_
_atom_site_label
_atom_site_fract_x
_atom_site_fract_y
_atom_site_fract_z
_atom_site_occupancy
Mn1 0.000 0.000 0.000 1
Mn2 0.250 0.250 0.250 1
Al1 0.500 0.500 0.500 1
Sb1 0.750 0.750 0.750 1
```

***

[7]
Compound: TaP2Os
Source: Alexandria
Functional: PBE
Structure: relaxed

Properties
Its calculated formation energy is -0.317 eV/atom. The calculation puts the total DFT energy (no corrections) at -0.3231 Ha/atom. For the energy above the most stable polymorph in this dataset, the calculation gives 0 meV/atom. Its space group is P4/mmm, No. 123.

Structure (CIF):
```
data_TaP2Os
_chemical_formula_sum 'Ta1 P2 Os1'
_cell_length_a 4.265
_cell_length_b 4.265
_cell_length_c 3.039
_cell_angle_alpha 90.00
_cell_angle_beta 90.00
_cell_angle_gamma 90.00
_space_group_name_H-M_alt 'P 1'
_space_group_IT_number 1
loop_
_space_group_symop_operation_xyz
'x,y,z'
loop_
_atom_site_label
_atom_site_fract_x
_atom_site_fract_y
_atom_site_fract_z
_atom_site_occupancy
Ta1 0.000 0.000 0.000 1
P1 0.000 0.500 0.500 1
P2 0.500 0.000 0.500 1
Os1 0.500 0.500 0.000 1
```

***

[8]
Compound: TlPdPb2
Source: Alexandria
Functional: PBE
Structure: relaxed

Properties
Its calculated formation energy is -0.119 eV/atom. The calculation puts the total DFT energy (no corrections) at -0.1419 Ha/atom. For the energy above the most stable polymorph in this dataset, the calculation gives 16 meV/atom. Its space group is Cmcm, No. 63.

Structure (CIF):
```
data_TlPdPb2
_chemical_formula_sum 'Tl2 Pd2 Pb4'
_cell_length_a 5.947
_cell_length_b 5.947
_cell_length_c 8.494
_cell_angle_alpha 90.00
_cell_angle_beta 90.00
_cell_angle_gamma 135.02
_space_group_name_H-M_alt 'P 1'
_space_group_IT_number 1
loop_
_space_group_symop_operation_xyz
'x,y,z'
loop_
_atom_site_label
_atom_site_fract_x
_atom_site_fract_y
_atom_site_fract_z
_atom_site_occupancy
Tl1 0.062 0.938 0.750 1
Tl2 0.938 0.062 0.250 1
Pd1 0.218 0.782 0.250 1
Pd2 0.782 0.218 0.750 1
Pb1 0.354 0.646 0.550 1
Pb2 0.354 0.646 0.950 1
Pb3 0.646 0.354 0.050 1
Pb4 0.646 0.354 0.450 1
```

***

[9]
Compound: ThTcMo
Source: Alexandria
Functional: PBE
Structure: relaxed

Properties
Its calculated formation energy is -0.028 eV/atom. The calculation puts the total DFT energy (no corrections) at -0.3516 Ha/atom. For the energy above the most stable polymorph in this dataset, the calculation gives 0 meV/atom. Its space group is Imma, No. 74.

Structure (CIF):
```
data_ThTcMo
_chemical_formula_sum 'Th2 Tc2 Mo2'
_cell_length_a 5.548
_cell_length_b 5.548
_cell_length_c 5.548
_cell_angle_alpha 124.21
_cell_angle_beta 114.24
_cell_angle_gamma 91.56
_space_group_name_H-M_alt 'P 1'
_space_group_IT_number 1
loop_
_space_group_symop_operation_xyz
'x,y,z'
loop_
_atom_site_label
_atom_site_fract_x
_atom_site_fract_y
_atom_site_fract_z
_atom_site_occupancy
Th1 0.376 0.126 0.250 1
Th2 0.624 0.874 0.750 1
Tc1 0.000 0.500 0.500 1
Tc2 0.500 0.500 0.000 1
Mo1 0.000 0.000 0.500 1
Mo2 0.000 0.500 0.000 1
```

***

[10]
Compound: Li2CaTb2In2
Source: Alexandria
Functional: PBE
Structure: relaxed

Properties
Its calculated formation energy is -0.217 eV/atom. The calculation puts the total DFT energy (no corrections) at -0.1160 Ha/atom. Its space group is R-3m, No. 166.

Structure (CIF):
```
data_Li2CaTb2In2
_chemical_formula_sum 'Li2 Ca1 Tb2 In2'
_cell_length_a 9.481
_cell_length_b 9.481
_cell_length_c 9.481
_cell_angle_alpha 30.05
_cell_angle_beta 30.05
_cell_angle_gamma 30.05
_space_group_name_H-M_alt 'P 1'
_space_group_IT_number 1
loop_
_space_group_symop_operation_xyz
'x,y,z'
loop_
_atom_site_label
_atom_site_fract_x
_atom_site_fract_y
_atom_site_fract_z
_atom_site_occupancy
Li1 0.103 0.103 0.103 1
Li2 0.897 0.897 0.897 1
Ca1 0.500 0.500 0.500 1
Tb1 0.371 0.371 0.371 1
Tb2 0.629 0.629 0.629 1
In1 0.244 0.244 0.244 1
In2 0.756 0.756 0.756 1
```

***

[11]
Compound: Li2CaPmAg2
Source: Alexandria
Functional: PBE
Structure: relaxed

Properties
Its calculated formation energy is -0.150 eV/atom. The calculation puts the total DFT energy (no corrections) at -0.1052 Ha/atom. Its space group is P-3m1, No. 164.

Structure (CIF):
```
data_Li2CaPmAg2
_chemical_formula_sum 'Li2 Ca1 Pm1 Ag2'
_cell_length_a 4.701
_cell_length_b 4.701
_cell_length_c 7.447
_cell_angle_alpha 90.00
_cell_angle_beta 90.00
_cell_angle_gamma 120.00
_space_group_name_H-M_alt 'P 1'
_space_group_IT_number 1
loop_
_space_group_symop_operation_xyz
'x,y,z'
loop_
_atom_site_label
_atom_site_fract_x
_atom_site_fract_y
_atom_site_fract_z
_atom_site_occupancy
Li1 0.333 0.667 0.244 1
Li2 0.667 0.333 0.756 1
Ca1 0.000 0.000 0.000 1
Pm1 0.000 0.000 0.500 1
Ag1 0.333 0.667 0.740 1
Ag2 0.667 0.333 0.260 1
```